(1)
VASP calculation (PBE) on BaTlPb2 after structural relaxation.

Summary:
M_tot, μB per atom: 0.00
Mass density, g cm⁻³: 8.75
V, Å³ per atom: 35.87
Energy of formation, meV/atom: -293.8
Symmetry: No. 62
ΔE to the lowest computed polymorph, meV/atom: 45

```
BaTlPb2
1.0
6.8809 0.0000 0.0000
0.0000 8.8577 0.0000
0.0000 0.0000 9.4151
Tl Pb Ba
4 8 4
Direct
0.3870 0.7500 0.5923 Tl
0.6130 0.2500 0.4077 Tl
0.1130 0.7500 0.0923 Tl
0.8870 0.2500 0.9077 Tl
0.6106 0.0563 0.6976 Pb
0.3894 0.9437 0.3024 Pb
0.1106 0.5563 0.8024 Pb
0.1106 0.9437 0.8024 Pb
0.8894 0.0563 0.1976 Pb
0.8894 0.4437 0.1976 Pb
0.3894 0.5563 0.3024 Pb
0.6106 0.4437 0.6976 Pb
0.1194 0.2500 0.5310 Ba
0.8806 0.7500 0.4690 Ba
0.3806 0.2500 0.0310 Ba
0.6194 0.7500 0.9690 Ba
```


(2)
VASP calculation (PBE) on Ba2Tl4Pb after structural relaxation.

Summary:
M_tot, μB per atom: 0.00
Mass density, g cm⁻³: 8.46
V, Å³ per atom: 36.45
Energy of formation, meV/atom: -262.2
Symmetry: No. 11
ΔE to the lowest computed polymorph, meV/atom: 0

```
Ba2Tl4Pb
1.0
6.2610 0.0000 0.0000
0.0000 7.7427 -4.1848
0.0000 -0.4630 10.7757
Ba Pb Tl
4 2 8
Direct
0.7500 0.8186 0.9838 Ba
0.7500 0.1280 0.4535 Ba
0.2500 0.1814 0.0162 Ba
0.2500 0.8720 0.5465 Ba
0.2500 0.9772 0.2370 Pb
0.7500 0.0228 0.7630 Pb
0.0038 0.3822 0.8193 Tl
0.2500 0.6763 0.7688 Tl
0.2500 0.4010 0.4254 Tl
0.5038 0.6178 0.1807 Tl
0.4962 0.3822 0.8193 Tl
0.9962 0.6178 0.1807 Tl
0.7500 0.3237 0.2312 Tl
0.7500 0.5990 0.5746 Tl
```


(3)
VASP calculation (PBE) on Ba8TlPb2 after structural relaxation.

Summary:
M_tot, μB per atom: 0.00
Mass density, g cm⁻³: 5.64
V, Å³ per atom: 45.93
Energy of formation, meV/atom: -284.0
Symmetry: No. 71

```
Ba8TlPb2
1.0
-2.3280 4.8565 -2.3978
-8.5113 -4.9241 -1.7095
2.4848 2.4316 9.7596
Ba Pb Tl
8 2 1
Direct
0.3448 0.5665 0.6896 Ba
0.8619 0.8619 0.7238 Ba
0.0000 0.3291 0.0000 Ba
0.3448 0.1232 0.6897 Ba
0.6552 0.8768 0.3103 Ba
0.0000 0.6709 0.0000 Ba
0.6552 0.4335 0.3104 Ba
0.1381 0.1381 0.2762 Ba
0.1960 0.6961 0.3921 Pb
0.8040 0.3039 0.6079 Pb
0.5000 0.0000 0.0000 Tl
```


(4)
VASP calculation (PBE) on BaTl2Pb after structural relaxation.

Summary:
M_tot, μB per atom: 0.00
Mass density, g cm⁻³: 8.01
V, Å³ per atom: 39.04
Energy of formation, meV/atom: -199.2
Symmetry: No. 160
ΔE to the lowest computed polymorph, meV/atom: 119

```
BaTl2Pb
1.0
4.9594 0.0000 0.0000
2.4797 4.2949 0.0000
2.4797 1.4316 7.3317
Ba Pb Tl
1 1 2
Direct
0.6733 0.6733 0.9802 Ba
0.4956 0.4956 0.5133 Pb
0.0945 0.0945 0.7166 Tl
0.2367 0.2367 0.2898 Tl
```


(5)
VASP calculation (PBE) on BaTlPb2 after structural relaxation.

Summary:
M_tot, μB per atom: 0.00
Mass density, g cm⁻³: 8.74
V, Å³ per atom: 35.93
Energy of formation, meV/atom: -69.4
Symmetry: No. 160
ΔE to the lowest computed polymorph, meV/atom: 270

```
BaTlPb2
1.0
11.0084 -0.0448 -0.0264
10.3245 3.8200 -0.0264
10.3245 1.8271 3.3548
Pb Tl Ba
2 1 1
Direct
0.9922 0.9922 0.9922 Pb
0.2496 0.2496 0.2496 Pb
0.5069 0.5069 0.5069 Tl
0.7513 0.7513 0.7513 Ba
```


(6)
VASP calculation (PBE) on Ba6Tl5Pb after structural relaxation.

Summary:
M_tot, μB per atom: 0.00
Mass density, g cm⁻³: 7.11
V, Å³ per atom: 39.98
Energy of formation, meV/atom: -423.7
Symmetry: No. 65

```
Ba6Tl5Pb
1.0
5.8028 -0.0348 1.9338
0.0458 8.5101 0.0153
-0.0123 -0.0174 9.7100
Ba Tl Pb
6 5 1
Direct
0.5000 0.7547 0.0000 Ba
0.1647 0.2505 0.6706 Ba
0.8353 0.7495 0.3294 Ba
0.8353 0.2505 0.3294 Ba
0.1647 0.7495 0.6706 Ba
0.5000 0.2453 0.0000 Ba
0.0000 0.5000 0.0000 Tl
0.3252 0.0000 0.3496 Tl
0.6678 0.5000 0.6644 Tl
0.6748 0.0000 0.6504 Tl
0.3322 0.5000 0.3356 Tl
0.0000 0.0000 0.0000 Pb
```


(7)
VASP calculation (PBE) on Ba4Tl7Pb6 after structural relaxation.

Summary:
M_tot, μB per atom: 0.00
Mass density, g cm⁻³: 9.16
V, Å³ per atom: 34.38
Energy of formation, meV/atom: -304.9
Symmetry: No. 229

```
Ba4Tl7Pb6
1.0
8.6007 0.0000 -3.0408
-4.3004 7.4485 -3.0408
0.0000 0.0000 9.1225
Pb Ba Tl
6 4 7
Direct
0.0000 0.3071 0.3071 Pb
0.0000 0.6929 0.6929 Pb
0.6929 0.6929 0.0000 Pb
0.6929 0.0000 0.6929 Pb
0.3071 0.3071 0.0000 Pb
0.3071 0.0000 0.3071 Pb
0.0000 0.0000 0.5000 Ba
0.5000 0.0000 0.0000 Ba
0.5000 0.5000 0.5000 Ba
0.0000 0.5000 0.0000 Ba
0.5000 0.7500 0.2500 Tl
0.2500 0.5000 0.7500 Tl
0.2500 0.7500 0.5000 Tl
0.5000 0.2500 0.7500 Tl
0.7500 0.5000 0.2500 Tl
0.7500 0.2500 0.5000 Tl
0.0000 0.0000 0.0000 Tl
```


(8)
VASP calculation (PBE) on BaTlPb2 after structural relaxation.

Summary:
M_tot, μB per atom: 0.00
Mass density, g cm⁻³: 8.67
V, Å³ per atom: 36.18
Energy of formation, meV/atom: -56.4
Symmetry: No. 166
ΔE to the lowest computed polymorph, meV/atom: 283

```
BaTlPb2
1.0
11.1551 -0.0334 -0.0197
10.4809 3.8194 -0.0197
10.4809 1.8340 3.3503
Ba Pb Tl
1 2 1
Direct
0.7500 0.7500 0.7500 Ba
0.5083 0.5083 0.5083 Pb
0.9917 0.9917 0.9917 Pb
0.2500 0.2500 0.2500 Tl
```


(9)
VASP calculation (PBE) on Ba4Tl2Pb after structural relaxation.

Summary:
M_tot, μB per atom: 0.00
Mass density, g cm⁻³: 6.18
V, Å³ per atom: 44.73
Energy of formation, meV/atom: -342.8
Symmetry: No. 166
ΔE to the lowest computed polymorph, meV/atom: 0

```
Ba4Tl2Pb
1.0
-4.3615 -3.8096 1.8162
-1.2847 -4.9335 -3.2931
4.7353 -8.0519 4.6229
Ba Tl Pb
4 2 1
Direct
0.6238 0.6238 0.1287 Ba
0.1240 0.1240 0.6280 Ba
0.3762 0.3762 0.8713 Ba
0.8760 0.8760 0.3720 Ba
0.7486 0.7486 0.7543 Tl
0.2514 0.2514 0.2457 Tl
0.0000 0.0000 0.0000 Pb
```


(10)
VASP calculation (PBE) on Ba3Tl8Pb3 after structural relaxation.

Summary:
M_tot, μB per atom: 0.00
Mass density, g cm⁻³: 9.17
V, Å³ per atom: 34.52
Energy of formation, meV/atom: -272.2
Symmetry: No. 71

```
Ba3Tl8Pb3
1.0
-1.5285 4.8133 1.0030
-7.6558 1.6665 -6.4486
-8.5072 -1.0782 5.4257
Tl Pb Ba
8 3 3
Direct
0.6471 0.6345 0.0712 Tl
0.8437 0.7846 0.5280 Tl
0.3529 0.9288 0.3655 Tl
0.1563 0.4720 0.2154 Tl
0.1563 0.2154 0.4720 Tl
0.6471 0.0712 0.6345 Tl
0.8437 0.5280 0.7846 Tl
0.3529 0.3655 0.9288 Tl
0.0000 0.1933 0.8067 Pb
0.0000 0.8067 0.1933 Pb
0.5000 0.0000 0.0000 Pb
0.8079 0.1921 0.1921 Ba
0.1921 0.8079 0.8079 Ba
0.5000 0.5000 0.5000 Ba
```


(11)
VASP calculation (PBE) on BaTl15Pb4 after structural relaxation.

Summary:
M_tot, μB per atom: 0.00
Mass density, g cm⁻³: 10.64
V, Å³ per atom: 31.47
Energy of formation, meV/atom: -52.7
Symmetry: No. 123

```
BaTl15Pb4
1.0
-2.9693 3.9764 1.8441
-3.3594 -0.6338 -4.0425
-11.9425 -14.5803 12.2105
Tl Pb Ba
15 4 1
Direct
0.5000 0.5000 0.7938 Tl
0.5000 0.0000 0.6979 Tl
0.0000 0.5000 0.8917 Tl
0.0000 0.5000 0.6979 Tl
0.5000 0.5000 0.0000 Tl
0.0000 0.5000 0.5000 Tl
0.5000 0.0000 0.5000 Tl
0.5000 0.0000 0.8917 Tl
0.5000 0.5000 0.2062 Tl
0.5000 0.5000 0.4008 Tl
0.0000 0.5000 0.3021 Tl
0.0000 0.5000 0.1083 Tl
0.5000 0.5000 0.5992 Tl
0.5000 0.0000 0.1083 Tl
0.5000 0.0000 0.3021 Tl
0.0000 0.0000 0.4009 Pb
0.0000 0.0000 0.5991 Pb
0.0000 0.0000 0.8018 Pb
0.0000 0.0000 0.1982 Pb
0.0000 0.0000 0.0000 Ba
```


(12)
VASP calculation (PBE) on Ba2Tl7Pb after structural relaxation.

Summary:
M_tot, μB per atom: 0.00
Mass density, g cm⁻³: 8.84
V, Å³ per atom: 35.94
Energy of formation, meV/atom: -201.6
Symmetry: No. 115
ΔE to the lowest computed polymorph, meV/atom: 0

```
Ba2Tl7Pb
1.0
-2.0441 4.4695 2.2843
-2.4146 1.2867 -4.6783
-9.9351 -6.2814 3.4003
Ba Tl Pb
2 7 1
Direct
0.0000 0.5000 0.2461 Ba
0.5000 0.0000 0.7539 Ba
0.5000 0.0000 0.3728 Tl
0.0000 0.5000 0.6272 Tl
0.5000 0.5000 0.5000 Tl
0.0000 0.0000 0.0000 Tl
0.0000 0.5000 0.8703 Tl
0.5000 0.0000 0.1297 Tl
0.0000 0.0000 0.5000 Tl
0.5000 0.5000 0.0000 Pb
```